Computed, not measured: ErZrAl2 after structural relaxation at the PBE level of DFT.

Geometry as extended XYZ:
```
4
Lattice="3.595 0.000 0.000 0.000 3.595 0.000 0.000 0.000 6.521" Properties=species:S:1:pos:R:3 pbc="T T T"
Er 1.798 1.798 3.261
Al 0.000 0.000 1.453
Al 0.000 0.000 5.068
Zr 1.798 1.798 0.000
```

Output
- Symmetry: P4/mmm
- Size of the total moment: 0.00 μB/f.u.
- E above lowest polymorph: 0 meV per atom
- Energy of formation: -0.3570 eV per atom